1.
KNaTeI2: optimized geometry, PBE.

Summary:
Raw formation energy in eV/atom: -0.571
Energy above the most stable polymorph in this dataset in meV per atom: 0.0

Cell lengths 6.172, 6.172, 5.857 Å; angles 90.00, 90.00, 90.00 degrees
Each line ends with the local moment (μB).
Fractional coordinates of all 5 atoms:
I 0.000 0.500 0.000  0.19
I 0.500 0.000 0.000  0.19
Na 0.000 0.000 0.000  0.00
K 0.500 0.500 0.500  0.00
Te 0.000 0.000 0.500  0.77

2.
Tc2NiRh: optimized geometry, PBE.

Summary:
Formation energy in kJ/mol of atoms: 18
Energy above the most stable polymorph in this dataset in meV per atom: 270.9

Cell lengths 4.275, 4.275, 4.275 Å; angles 60.00, 60.00, 60.00 degrees
Fractional coordinates of all 4 atoms:
Ni 0.500 0.500 0.500
Rh 0.250 0.250 0.250
Tc 0.000 0.000 0.000
Tc 0.750 0.750 0.750

3.
SmGa4Ru3: optimized geometry, PBE.

Summary:
Formation energy in kJ/mol of atoms: -28

Cell lengths 4.426, 6.643, 8.833 Å; angles 90.00, 90.00, 90.00 degrees
Fractional coordinates of all 16 atoms:
Ru 0.000 0.000 0.000
Ru 0.000 0.000 0.500
Ru 0.512 0.000 0.750
Ru 0.488 0.000 0.250
Ru 0.473 0.500 0.750
Ru 0.527 0.500 0.250
Ga 0.500 0.789 0.000
Ga 0.500 0.789 0.500
Ga 0.500 0.211 0.000
Ga 0.500 0.211 0.500
Ga 0.013 0.790 0.750
Ga 0.987 0.790 0.250
Ga 0.987 0.210 0.250
Ga 0.013 0.210 0.750
Sm 0.000 0.500 0.000
Sm 0.000 0.500 0.500

4.
Th5ScSb6: optimized geometry, PBE.

Summary:
Raw formation energy in eV/atom: -0.896

Cell lengths 7.729, 7.712, 7.724 Å; angles 60.05, 80.34, 70.36 degrees
Fractional coordinates of all 12 atoms:
Sc 0.000 0.000 0.000
Sb 0.762 0.078 0.320
Sb 0.238 0.602 0.320
Sb 0.248 0.235 0.000
Sb 0.752 0.765 0.000
Sb 0.762 0.398 0.680
Sb 0.238 0.922 0.680
Th 0.500 0.174 0.652
Th 0.000 0.336 0.328
Th 0.500 0.500 0.000
Th 0.000 0.664 0.672
Th 0.500 0.826 0.348

Number 1: size of the total moment 2.05 μB per formula unit, final energy -2.303 eV per atom. Number 2: size of the total moment 0.00 μB per formula unit, final energy -8.281 eV per atom. Number 3: size of the total moment 0.00 μB per formula unit, final energy -5.877 eV per atom. Number 4: size of the total moment 0.00 μB per formula unit, final energy -6.576 eV per atom.